The following is a DFT calculation (PBE) of a relaxed structure of LaTm5Pd2.

Cell lengths 6.7499, 6.7499, 17.9397 Å; angles 90.00, 90.00, 147.35 degrees
Atoms (fractional coordinates):
La (0.1523, 0.8477, 0.7500)
La (0.8477, 0.1523, 0.2500)
Tm (0.1087, 0.8913, 0.2500)
Tm (0.1566, 0.8434, 0.5429)
Tm (0.1566, 0.8434, 0.9571)
Tm (0.4473, 0.5527, 0.5988)
Tm (0.4473, 0.5527, 0.9012)
Tm (0.5527, 0.4473, 0.0988)
Tm (0.5527, 0.4473, 0.4012)
Tm (0.8434, 0.1566, 0.0429)
Tm (0.8434, 0.1566, 0.4571)
Tm (0.8913, 0.1087, 0.7500)
Pd (0.2332, 0.7668, 0.1234)
Pd (0.2332, 0.7668, 0.3766)
Pd (0.7668, 0.2332, 0.6234)
Pd (0.7668, 0.2332, 0.8766)

Total moment = 0.00 μB per formula unit
Formation energy from the elements = -0.394 eV per atom
Crystal system = orthorhombic
DOS at the Fermi energy = 9.195 states/eV/f.u.